A plane-wave DFT calculation with GGA-PBE was carried out for Ba2Zn3Sn4Au after structural relaxation.

Calculated values
Total moment = 0.00 Bohr magnetons per cell
Fermi-level density of states = 0.3527 states/eV/atom
Total energy = -31.4 eV for the cell shown

Lattice parameters (Å, degrees): 4.8330 4.8330 11.3458 90.00 90.00 90.00
Last column: nearest neighbours and their distance in Å.
Sites, in units of the cell vectors:
Sn (0.5000, 0.5000, 0.0000)  4 Zn 2.86
Sn (0.5000, 0.0000, 0.6272)  3 Zn 2.71-2.81, 2 Au 2.81
Sn (0.0000, 0.5000, 0.3728)  3 Zn 2.71-2.81, 2 Au 2.81
Sn (0.0000, 0.0000, 0.0000)  4 Zn 2.86
Zn (0.5000, 0.0000, 0.8657)  5 Sn 2.71-2.86
Zn (0.0000, 0.5000, 0.1343)  5 Sn 2.71-2.86
Zn (0.0000, 0.0000, 0.5000)  4 Sn 2.81
Au (0.5000, 0.5000, 0.5000)  4 Sn 2.81
Ba (0.5000, 0.0000, 0.2579)  8 Sn 3.66-3.80, 6 Zn 3.66-3.69, 2 Au 3.66
Ba (0.0000, 0.5000, 0.7421)  8 Sn 3.66-3.80, 6 Zn 3.66-3.69, 2 Au 3.66